ZrCuSi: single point on PBEsol structure, SCAN.

```
data_ZrCuSi
_chemical_formula_sum 'Zr1 Cu1 Si1'
_symmetry_space_group_name_H-M 'P 1'
_symmetry_Int_Tables_number 1
_symmetry_space_group_name_Hall 'P 1'
_cell_length_a 3.395
_cell_length_b 3.964
_cell_length_c 3.964
_cell_angle_alpha 120.00
_cell_angle_beta 90.00
_cell_angle_gamma 90.00
loop_
_atom_site_label
_atom_site_type_symbol
_atom_site_fract_x
_atom_site_fract_y
_atom_site_fract_z
Si1 Si 0.833 0.667 0.333
Zr1 Zr 0.333 0.333 0.667
Cu1 Cu 0.834 0.000 0.000
```

## Properties
- Space group: P-6m2, No. 187
- E: -19.309 eV/atom
- DOS at the Fermi energy: 1.663 states/eV/cell
- Formation energy without anion corrections: -2.0 eV per formula unit



Cr3BRh: single point on PBEsol structure, SCAN.

```
data_Cr3BRh
_chemical_formula_sum 'Cr3 B1 Rh1'
_symmetry_space_group_name_H-M 'P 1'
_symmetry_Int_Tables_number 1
_symmetry_space_group_name_Hall 'P 1'
_cell_length_a 3.827
_cell_length_b 3.827
_cell_length_c 3.827
_cell_angle_alpha 90.00
_cell_angle_beta 90.00
_cell_angle_gamma 90.00
loop_
_atom_site_label
_atom_site_type_symbol
_atom_site_fract_x
_atom_site_fract_y
_atom_site_fract_z
Cr1 Cr 0.000 0.500 0.000
Cr2 Cr 0.000 0.000 0.500
Cr3 Cr 0.500 0.000 0.000
B1 B 0.000 0.000 0.000
Rh1 Rh 0.500 0.500 0.500
```

## Properties
- Space group: Pm-3m, No. 221
- E: -19.066 eV/atom
- DOS at the Fermi energy: 3.235 states/eV/cell



Zr3ScAs: single point on PBEsol structure, SCAN.

```
data_Zr3ScAs
_chemical_formula_sum 'Zr3 Sc1 As1'
_symmetry_space_group_name_H-M 'P 1'
_symmetry_Int_Tables_number 1
_symmetry_space_group_name_Hall 'P 1'
_cell_length_a 4.994
_cell_length_b 4.994
_cell_length_c 4.994
_cell_angle_alpha 90.00
_cell_angle_beta 90.00
_cell_angle_gamma 90.00
loop_
_atom_site_label
_atom_site_type_symbol
_atom_site_fract_x
_atom_site_fract_y
_atom_site_fract_z
As1 As 0.000 0.000 0.000
Sc1 Sc 0.500 0.500 0.500
Zr1 Zr 0.000 0.500 0.000
Zr2 Zr 0.500 0.000 0.000
Zr3 Zr 0.000 0.000 0.500
```

## Properties
- Space group: Pm-3m, No. 221
- E: -25.462 eV/atom
- DOS at the Fermi energy: 5.858 states/eV/cell



FeOsRu2: single point on PBEsol structure, SCAN.

```
data_FeOsRu2
_chemical_formula_sum 'Fe1 Os1 Ru2'
_symmetry_space_group_name_H-M 'P 1'
_symmetry_Int_Tables_number 1
_symmetry_space_group_name_Hall 'P 1'
_cell_length_a 2.736
_cell_length_b 4.427
_cell_length_c 4.427
_cell_angle_alpha 90.00
_cell_angle_beta 90.00
_cell_angle_gamma 90.00
loop_
_atom_site_label
_atom_site_type_symbol
_atom_site_fract_x
_atom_site_fract_y
_atom_site_fract_z
Ru1 Ru 0.000 0.000 0.500
Ru2 Ru 0.000 0.500 0.000
Os1 Os 0.500 0.000 0.000
Fe1 Fe 0.500 0.500 0.500
```

## Properties
- Space group: P4/mmm, No. 123
- E: -39.563 eV/atom
- DOS at the Fermi energy: 4.376 states/eV/cell